[1]
Material: Dy8C3Se4S
Method: DFT, GGA-PBE
State: relaxed

Magnetization, μB per formula unit: 0.0
ΔE_f (raw), kJ/mol of formula units: -2120

Lattice parameters (Å, degrees): 7.652 7.913 7.652 118.92 120.00 90.00
Element x y z (fractional)
Se: 0.500 0.000 0.500
Dy: 0.247 0.710 0.963
Dy: 0.753 0.290 0.037
C: 0.000 0.500 0.500
Se: 0.000 0.000 0.500
Dy: 0.735 0.706 0.471
S: 0.000 0.500 0.000
Dy: 0.247 0.710 0.493
Dy: 0.283 0.290 0.037
Dy: 0.753 0.290 0.507
Se: 0.500 0.000 0.000
Dy: 0.717 0.710 0.963
Se: 0.000 0.000 0.000
C: 0.500 0.500 0.500
Dy: 0.265 0.294 0.529
C: 0.500 0.500 0.000

---

[2]
Material: Sm6ThSe8
Method: DFT, GGA-PBE
State: relaxed

Magnetization, μB per formula unit: 0.0
ΔE_f (raw), kJ/mol of formula units: -2619

Lattice parameters (Å, degrees): 8.321 8.321 8.321 60.00 60.00 60.00
Element x y z (fractional)
Sm: 0.500 0.000 0.000
Se: 0.744 0.744 0.256
Se: 0.750 0.750 0.750
Se: 0.250 0.250 0.250
Sm: 0.000 0.000 0.500
Se: 0.256 0.744 0.256
Se: 0.744 0.256 0.256
Se: 0.256 0.744 0.744
Sm: 0.500 0.500 0.000
Sm: 0.000 0.500 0.000
Se: 0.744 0.256 0.744
Se: 0.256 0.256 0.744
Sm: 0.500 0.000 0.500
Th: 0.000 0.000 0.000
Sm: 0.000 0.500 0.500

---

What did the second record say?
Material: Sm6ThSe8
Method: DFT, GGA-PBE
State: relaxed

Magnetization, μB per formula unit: 0.0
ΔE_f (raw), kJ/mol of formula units: -2619

Lattice parameters (Å, degrees): 8.321 8.321 8.321 60.00 60.00 60.00
Element x y z (fractional)
Sm: 0.500 0.000 0.000
Se: 0.744 0.744 0.256
Se: 0.750 0.750 0.750
Se: 0.250 0.250 0.250
Sm: 0.000 0.000 0.500
Se: 0.256 0.744 0.256
Se: 0.744 0.256 0.256
Se: 0.256 0.744 0.744
Sm: 0.500 0.500 0.000
Sm: 0.000 0.500 0.000
Se: 0.744 0.256 0.744
Se: 0.256 0.256 0.744
Sm: 0.500 0.000 0.500
Th: 0.000 0.000 0.000
Sm: 0.000 0.500 0.500

---

Copy entry 2 word for word.
Material: Sm6ThSe8
Method: DFT, GGA-PBE
State: relaxed

Magnetization, μB per formula unit: 0.0
ΔE_f (raw), kJ/mol of formula units: -2619

Lattice parameters (Å, degrees): 8.321 8.321 8.321 60.00 60.00 60.00
Element x y z (fractional)
Sm: 0.500 0.000 0.000
Se: 0.744 0.744 0.256
Se: 0.750 0.750 0.750
Se: 0.250 0.250 0.250
Sm: 0.000 0.000 0.500
Se: 0.256 0.744 0.256
Se: 0.744 0.256 0.256
Se: 0.256 0.744 0.744
Sm: 0.500 0.500 0.000
Sm: 0.000 0.500 0.000
Se: 0.744 0.256 0.744
Se: 0.256 0.256 0.744
Sm: 0.500 0.000 0.500
Th: 0.000 0.000 0.000
Sm: 0.000 0.500 0.500

---

Q: Look up the magnetization of the second one.
A: 0.0 μB per formula unit

---

Q: Which of these has the lowest ΔE_f (raw)?
A: Sm6ThSe8